[1]
First-principles (GGA-PBE) data for a relaxed ZrScInAg crystal, as listed in Alexandria.

Cell lengths 4.9551, 4.9551, 4.9551 Å; angles 60.00, 60.00, 60.00 degrees
Site moments in Bohr magnetons follow the coordinates.
Fractional positions:
Sc  0.5000  0.5000  0.5000  0.23
Zr  0.0000  0.0000  0.0000  0.31
Ag  0.2500  0.2500  0.2500  0.02
In  0.7500  0.7500  0.7500  -0.02

Output
- Formation enthalpy at 0 K: -0.2301 eV/atom



[2]
First-principles (GGA-PBE) data for a relaxed InAgSe2 crystal, as listed in Alexandria.

Cell lengths 6.1949, 6.1949, 7.4537 Å; angles 65.45, 65.45, 90.00 degrees
Fractional positions:
Se  0.6293  0.1250  0.2500
Se  0.1207  0.6250  0.2500
Se  0.3750  0.3707  0.7500
Se  0.8750  0.8793  0.7500
Ag  0.5000  0.5000  0.0000
Ag  0.2500  0.7500  0.5000
In  0.0000  0.0000  0.0000
In  0.7500  0.2500  0.5000

Output
- Formation energy (no corrections): -9.736 kcal/mol of atoms



[3]
First-principles (GGA-PBE) data for a relaxed InAgSe2 crystal, as listed in Alexandria.

Cell lengths 6.3887, 6.3887, 4.0358 Å; angles 71.61, 71.61, 36.88 degrees
Fractional positions:
Ag  0.7500  0.7500  0.2500
In  0.2500  0.2500  0.7500
Se  0.9871  0.9871  0.0129
Se  0.5129  0.5129  0.4871

Output
- Formation energy (no corrections): 0.515 kcal/mol of atoms



[4]
First-principles (GGA-PBE) data for a relaxed InAgSe2 crystal, as listed in Alexandria.

Cell lengths 7.4628, 7.4629, 7.4629 Å; angles 34.14, 34.14, 34.14 degrees
Fractional positions:
Se  0.1232  0.1232  0.1232
Se  0.6295  0.6295  0.6295
Ag  0.9891  0.9891  0.9891
In  0.5082  0.5082  0.5082

Output
- Formation energy (no corrections): -8.181 kcal/mol of atoms



[5]
First-principles (GGA-PBE) data for a relaxed InAgSe crystal, as listed in Alexandria.

Cell lengths 4.7543, 4.7543, 4.7543 Å; angles 60.00, 60.00, 60.00 degrees
Fractional positions:
Ag  0.2500  0.2500  0.2500
In  0.0000  0.0000  0.0000
Se  0.5000  0.5000  0.5000

Output
- Formation energy (no corrections): -2.435 kcal/mol of atoms



[6]
First-principles (GGA-PBE) data for a relaxed InAgSe2 crystal, as listed in Alexandria.

Cell lengths 7.1192, 7.4600, 8.7222 Å; angles 90.00, 90.00, 90.00 degrees
Fractional positions:
Se  0.9868  0.5745  0.3744
Se  0.4868  0.4255  0.6256
Se  0.4868  0.9255  0.8744
Se  0.9868  0.0745  0.1256
Se  0.9946  0.5878  0.8756
Se  0.9946  0.0878  0.6244
Se  0.4946  0.9122  0.3756
Se  0.4946  0.4122  0.1244
Ag  0.1189  0.9092  0.3762
Ag  0.6189  0.5908  0.8762
Ag  0.6189  0.0908  0.6238
Ag  0.1189  0.4092  0.1238
In  0.6147  0.0765  0.1262
In  0.1147  0.9235  0.8738
In  0.1147  0.4235  0.6262
In  0.6147  0.5765  0.3738

Output
- Formation energy (no corrections): -9.646 kcal/mol of atoms



[7]
First-principles (GGA-PBE) data for a relaxed InAgSe2 crystal, as listed in Alexandria.

Cell lengths 8.0078, 10.6493, 7.0287 Å; angles 29.09, 55.35, 41.30 degrees
Fractional positions:
Se  0.2408  0.9998  0.5185
Se  0.9908  0.5001  0.5180
Se  0.7592  0.9999  0.4820
Se  0.5092  0.5002  0.4815
Ag  0.2501  0.4998  0.9998
Ag  0.4999  0.0002  0.0002
In  0.9998  0.0000  0.0002
In  0.7502  0.5000  0.9998

Output
- Formation energy (no corrections): -7.239 kcal/mol of atoms



[8]
First-principles (GGA-PBE) data for a relaxed InAgSe2 crystal, as listed in Alexandria.

Cell lengths 6.9068, 6.9068, 6.9068 Å; angles 35.58, 35.58, 35.58 degrees
Fractional positions:
Ag  0.5104  0.5104  0.5104
In  0.7513  0.7513  0.7513
Se  0.0177  0.0177  0.0177
Se  0.2206  0.2206  0.2206

Output
- Formation energy (no corrections): -2.279 kcal/mol of atoms



| no. | E_tot (eV/cell) |
| --- | --- |
| 1 | -21.39 |
| 2 | -28.50 |
| 3 | -12.47 |
| 4 | -13.98 |
| 5 | -9.39 |
| 6 | -56.93 |
| 7 | -27.63 |
| 8 | -12.95 |